MnCu4Si: optimized geometry, PBE.

The value obtained for the formation energy without anion corrections is 0.144 eV/atom.

Cell: 6.786 6.786 6.786 Å, 90.00 90.00 90.00°
Space group F-43m (No. 216)
Unique sites:
Mn (0.000, 0.000, 0.000)
Cu (0.125, 0.125, 0.375)
Si (0.250, 0.250, 0.750)

SrLa2GaC: optimized geometry, PBE.

The formation energy is -0.098 eV per atom.

Cell: 5.148 5.148 5.368 Å, 90.00 90.00 90.00°
Space group P4/mmm (No. 123)
Unique sites:
Sr (0.000, 0.000, 0.000)
La (0.000, 0.500, 0.500)
Ga (0.500, 0.500, 0.000)
C (0.000, 0.000, 0.500)

Total moment across the listed records, respectively: 0.7349, 0.0000 μB/atom.